Entry 1:
The following is a DFT calculation (PBE-GGA) of a relaxed structure of Ho3Np.

total DFT energy (no corrections): -6.3700 eV/atom
Fermi-level density of states: 11.33 states/eV/f.u.

Cell lengths 6.6628, 6.6628, 6.6628 Å; angles 150.57, 63.88, 124.70 degrees
Element x y z (fractional)
Ho1 0.0000 0.0000 0.0000
Ho2 0.0769 0.3244 0.7525
Ho3 0.5719 0.3244 0.2475
Np1 0.5058 0.0058 0.5000

Entry 2:
The following is a DFT calculation (PBE-GGA) of a relaxed structure of Er3Cd3Au2.

total DFT energy (no corrections): -3.4622 eV/atom
Fermi-level density of states: 5.17 states/eV/f.u.

Cell lengths 7.6880, 7.6880, 3.7345 Å; angles 90.00, 90.00, 120.00 degrees
Element x y z (fractional)
Er1 0.0000 0.5821 0.0000
Er2 0.4179 0.4179 0.0000
Er3 0.5821 0.0000 0.0000
Cd1 0.0000 0.2251 0.5000
Cd2 0.2251 0.0000 0.5000
Cd3 0.7749 0.7749 0.5000
Au1 0.3333 0.6667 0.5000
Au2 0.6667 0.3333 0.5000

Entry 3:
The following is a DFT calculation (PBE-GGA) of a relaxed structure of Sc3Pt.

total DFT energy (no corrections): -6.7611 eV/atom
Fermi-level density of states: 5.11 states/eV/f.u.

Cell lengths 4.8121, 4.8121, 4.8121 Å; angles 60.00, 60.00, 60.00 degrees
Element x y z (fractional)
Sc1 0.0000 0.0000 0.0000
Sc2 0.2500 0.2500 0.2500
Sc3 0.7500 0.7500 0.7500
Pt1 0.5000 0.5000 0.5000